{"formula": "DyScNb", "functional": "PBE", "state": "relaxed", "relative_energy_mev_per_atom": 0, "ef_ev_per_atom": 0.20, "sg": "I4mm, No. 107", "lattice": [[-1.567, 1.567, 7.338], [1.567, -1.567, 7.338], [1.567, 1.567, -7.338]], "species": ["Dy", "Sc", "Nb"], "frac_coords": [[0.000, 0.000, 0.000], [0.301, 0.301, 0.000], [0.659, 0.659, 0.000]]}

{"formula": "DyScNb", "functional": "PBE", "state": "relaxed", "relative_energy_mev_per_atom": 342, "ef_ev_per_atom": 0.54, "sg": "R-3m, No. 166", "lattice": [[2.594, 1.498, 6.215], [-2.594, 1.498, 6.215], [0.000, -2.995, 6.215]], "species": ["Dy", "Dy", "Sc", "Sc", "Nb", "Nb"], "frac_coords": [[0.111, 0.111, 0.111], [0.889, 0.889, 0.889], [0.428, 0.428, 0.428], [0.572, 0.572, 0.572], [0.298, 0.298, 0.298], [0.702, 0.702, 0.702]]}

{"formula": "DyThScNb", "functional": "PBE", "state": "relaxed", "ef_ev_per_atom": 0.19, "sg": "F-43m, No. 216", "lattice": [[0.000, 3.704, 3.704], [3.704, 0.000, 3.704], [3.704, 3.704, 0.000]], "species": ["Dy", "Th", "Sc", "Nb"], "frac_coords": [[0.000, 0.000, 0.000], [0.500, 0.500, 0.500], [0.750, 0.750, 0.750], [0.250, 0.250, 0.250]]}

{"formula": "Dy2NbSe", "functional": "PBE", "state": "relaxed", "e_tot_ev_per_atom": -5.75, "sg": "R-3m, No. 166", "lattice": [[1.760, 1.016, 9.649], [-1.760, 1.016, 9.649], [0.000, -2.032, 9.649]], "species": ["Dy", "Dy", "Nb", "Se"], "frac_coords": [[0.100, 0.100, 0.100], [0.900, 0.900, 0.900], [0.000, 0.000, 0.000], [0.500, 0.500, 0.500]]}